(1)
The following is a GGA-PBE calculation of a relaxed Cs4Cd12HgPt3 crystal, from Alexandria.

Values from the calculation:
ΔE_f = -0.177 eV per atom

POSCAR file:
```
Cs4Cd12HgPt3
1.0
-5.455 5.455 5.455
5.455 -5.455 5.455
5.455 5.455 -5.455
Cs Cd Hg Pt
4 12 1 3
Cartesian
2.727 2.727 -2.727 Cs
2.727 -2.727 2.727 Cs
-2.727 2.727 2.727 Cs
2.727 2.727 2.727 Cs
2.824 0.000 0.000 Cd
8.085 0.000 0.000 Cd
5.455 2.727 0.000 Cd
5.455 0.000 2.727 Cd
0.000 2.824 0.000 Cd
0.000 0.000 2.824 Cd
2.727 5.455 0.000 Cd
2.727 0.000 5.455 Cd
0.000 8.085 0.000 Cd
0.000 0.000 8.085 Cd
0.000 5.455 2.727 Cd
0.000 2.727 5.455 Cd
0.000 0.000 0.000 Hg
5.455 0.000 0.000 Pt
0.000 5.455 0.000 Pt
0.000 0.000 5.455 Pt
```

(2)
The following is a GGA-PBE calculation of a relaxed CeNdEuCd crystal, from Alexandria.

Values from the calculation:
ΔE_f = 0.040 eV per atom

POSCAR file:
```
CeNdEuCd
1.0
0.000 3.946 3.946
3.946 0.000 3.946
3.946 3.946 0.000
Ce Nd Eu Cd
1 1 1 1
Cartesian
0.000 0.000 0.000 Ce
3.946 3.946 3.946 Nd
1.973 1.973 1.973 Eu
5.919 5.919 5.919 Cd
```

(3)
The following is a GGA-PBE calculation of a relaxed Nd4Si3Ni crystal, from Alexandria.

POSCAR file:
```
Nd4Si3Ni
1.0
4.002 0.000 0.000
0.000 4.342 0.000
0.000 0.000 11.002
Nd Si Ni
4 3 1
Cartesian
0.000 0.000 0.000 Nd
0.000 2.171 5.427 Nd
2.001 0.000 7.838 Nd
2.001 2.171 2.405 Nd
0.000 2.171 8.650 Si
2.001 0.000 4.607 Si
2.001 2.171 10.171 Si
0.000 0.000 3.288 Ni
```

(4)
The following is a GGA-PBE calculation of a relaxed Pu2GeI crystal, from Alexandria.

Values from the calculation:
energy above the lowest structure with this stoichiometry = 5 meV/atom

POSCAR file:
```
Pu2GeI
1.0
3.640 0.000 0.000
0.000 3.640 0.000
0.000 0.000 7.915
Pu Ge I
2 1 1
Cartesian
0.000 0.000 1.654 Pu
0.000 0.000 6.261 Pu
1.820 1.820 0.000 Ge
1.820 1.820 3.958 I
```

(5)
The following is a GGA-PBE calculation of a relaxed BaSbAu crystal, from Alexandria.

POSCAR file:
```
BaSbAu
1.0
5.431 0.000 0.000
0.000 7.174 0.000
-1.063 0.000 5.390
Ba Sb Au
2 2 2
Cartesian
0.485 0.000 1.806 Ba
3.883 3.587 3.583 Ba
1.198 3.588 1.292 Sb
3.170 0.001 4.097 Sb
1.648 1.794 5.386 Au
2.720 5.381 0.004 Au
```

(6)
The following is a GGA-PBE calculation of a relaxed CaTa2P crystal, from Alexandria.

Values from the calculation:
energy above the lowest structure with this stoichiometry = 147 meV/atom
ΔE_f = -0.003 eV per atom

POSCAR file:
```
CaTa2P
1.0
5.827 -1.515 0.000
5.827 1.515 0.000
-1.997 0.000 4.459
Ca Ta P
1 2 1
Cartesian
0.000 0.000 0.000 Ca
0.894 0.000 3.057 Ta
8.763 0.000 1.401 Ta
4.829 0.000 2.229 P
```

(7)
The following is a GGA-PBE calculation of a relaxed Pm2Sm3Dy6Ho crystal, from Alexandria.

Values from the calculation:
ΔE_f = 0.014 eV per atom

POSCAR file:
```
Pm2Sm3Dy6Ho
1.0
3.102 -5.370 0.000
3.102 5.370 0.000
-2.060 0.000 11.657
Pm Sm Dy Ho
2 3 6 1
Cartesian
3.102 3.582 0.000 Pm
3.102 -3.582 0.000 Pm
-1.030 0.000 5.828 Sm
2.072 1.790 5.828 Sm
2.072 -1.790 5.828 Sm
0.006 1.787 8.749 Dy
1.041 0.000 2.912 Dy
0.006 -1.787 8.749 Dy
4.138 1.787 2.908 Dy
3.103 0.000 8.745 Dy
4.138 -1.787 2.908 Dy
3.102 0.000 0.000 Ho
```

(8)
The following is a GGA-PBE calculation of a relaxed S2ClOF crystal, from Alexandria.

Values from the calculation:
energy above the lowest structure with this stoichiometry = 0 meV/atom

POSCAR file:
```
S2ClOF
1.0
3.833 0.000 0.000
0.000 3.833 0.000
0.000 0.000 6.256
S Cl O F
2 1 1 1
Cartesian
0.000 1.916 0.000 S
1.916 0.000 0.000 S
0.000 0.000 3.128 Cl
0.000 0.000 0.000 O
1.916 1.916 3.128 F
```

(9)
The following is a GGA-PBE calculation of a relaxed CaHW2 crystal, from Alexandria.

Values from the calculation:
energy above the lowest structure with this stoichiometry = 0 meV/atom

POSCAR file:
```
CaHW2
1.0
0.000 4.072 4.072
4.072 0.000 4.072
4.072 4.072 0.000
Ca H W
2 2 4
Cartesian
1.018 1.018 1.018 Ca
7.126 7.126 7.126 Ca
3.054 3.054 3.054 H
5.090 5.090 5.090 H
4.072 2.036 2.036 W
2.036 4.072 2.036 W
2.036 2.036 4.072 W
4.072 4.072 4.072 W
```

(10)
The following is a GGA-PBE calculation of a relaxed SmGeO3 crystal, from Alexandria.

POSCAR file:
```
SmGeO3
1.0
1.968 -3.447 0.000
1.968 3.447 0.000
0.000 0.000 10.409
Sm Ge O
2 2 6
Cartesian
0.000 0.000 0.000 Sm
0.000 0.000 5.205 Sm
1.968 0.482 7.807 Ge
1.968 -0.482 2.602 Ge
1.968 3.380 2.602 O
1.968 1.183 6.080 O
1.968 1.183 9.534 O
1.968 -1.183 0.875 O
1.968 -1.183 4.330 O
1.968 -3.380 7.807 O
```

(11)
The following is a GGA-PBE calculation of a relaxed Mg2TaZn crystal, from Alexandria.

Values from the calculation:
ΔE_f = 0.244 eV per atom

POSCAR file:
```
Mg2TaZn
1.0
2.896 0.000 0.000
0.000 4.581 0.000
-1.184 0.000 5.514
Mg Ta Zn
2 1 1
Cartesian
0.160 0.000 1.392 Mg
1.552 0.000 4.123 Mg
1.448 2.291 0.000 Ta
-0.592 2.291 2.757 Zn
```

(12)
The following is a GGA-PBE calculation of a relaxed YSc2Re crystal, from Alexandria.

Values from the calculation:
energy above the lowest structure with this stoichiometry = 140 meV/atom
ΔE_f = 0.152 eV per atom

POSCAR file:
```
YSc2Re
1.0
0.000 3.472 3.472
3.472 0.000 3.472
3.472 3.472 0.000
Y Sc Re
1 2 1
Cartesian
0.000 0.000 0.000 Y
1.736 1.736 1.736 Sc
5.209 5.209 5.209 Sc
3.472 3.472 3.472 Re
```

Total moment, record by record: 0.00, 8.69, 0.28, 11.49, 0.00, 0.00, 0.00, 2.52, 0.00, 0.00, 0.00, 0.00 Bohr magnetons per cell
Total DFT energy (no corrections), record by record: -1.82, -5.43, -5.77, -9.22, -3.88, -7.78, -4.64, -2.65, -7.26, -7.13, -3.83, -7.74 eV/atom